[1]
First-principles (meta-GGA SCAN) data for RbCd3Rh at its PBEsol-relaxed geometry, as listed in Alexandria.

The structure in CIF format:
```
data_RbCd3Rh
_chemical_formula_sum 'Rb4 Cd12 Rh4'
_space_group_name_H-M_alt 'I m m a'
_space_group_IT_number 74
_space_group_name_Hall '-I 2b 2'
_cell_length_a 7.227
_cell_length_b 10.277
_cell_length_c 7.382
_cell_angle_alpha 90.00
_cell_angle_beta 90.00
_cell_angle_gamma 90.00
loop_
_atom_site_label
_atom_site_type_symbol
_atom_site_fract_x
_atom_site_fract_y
_atom_site_fract_z
_atom_site_occupancy
Rb1 Rb 0.000 0.250 0.085 1
Cd1 Cd 0.000 0.250 0.570 1
Cd2 Cd 0.250 0.038 0.750 1
Rh1 Rh 0.000 0.000 0.500 1
```

Values from the calculation:
For the density of states at the Fermi level, the calculation gives 5.5 states/eV per cell. The calculated formation energy is -2.85 kcal/mol of atoms. The total energy comes out at -585.49 eV/cell.

---

[2]
First-principles (meta-GGA SCAN) data for CaTeBr3 at its PBEsol-relaxed geometry, as listed in Alexandria.

The structure in CIF format:
```
data_CaTeBr3
_chemical_formula_sum 'Ca1 Te1 Br3'
_space_group_name_H-M_alt 'P m -3 m'
_space_group_IT_number 221
_space_group_name_Hall '-P 4 2 3'
_cell_length_a 5.567
_cell_length_b 5.567
_cell_length_c 5.567
_cell_angle_alpha 90.00
_cell_angle_beta 90.00
_cell_angle_gamma 90.00
loop_
_atom_site_label
_atom_site_type_symbol
_atom_site_fract_x
_atom_site_fract_y
_atom_site_fract_z
_atom_site_occupancy
Ca1 Ca 0.000 0.000 0.000 1
Te1 Te 0.500 0.500 0.500 1
Br1 Br 0.000 0.000 0.500 1
```

Values from the calculation:
As for the formation energy without anion corrections: -1.000 eV/atom. The total energy comes out at -110.29 eV/cell.

---

[3]
First-principles (meta-GGA SCAN) data for Ba2SrRu at its PBEsol-relaxed geometry, as listed in Alexandria.

The structure in CIF format:
```
data_Ba2SrRu
_chemical_formula_sum 'Ba6 Sr3 Ru3'
_space_group_name_H-M_alt 'R -3 m'
_space_group_IT_number 166
_space_group_name_Hall '-R 3 2"'
_cell_length_a 4.1711
_cell_length_b 4.1711
_cell_length_c 32.6893
_cell_angle_alpha 90.00
_cell_angle_beta 90.00
_cell_angle_gamma 120.00
loop_
_atom_site_label
_atom_site_type_symbol
_atom_site_fract_x
_atom_site_fract_y
_atom_site_fract_z
_atom_site_occupancy
Ba1 Ba 0.0000 0.0000 0.2229 1
Sr1 Sr 0.0000 0.0000 0.0000 1
Ru1 Ru 0.0000 0.0000 0.5000 1
```

Values from the calculation:
For the density of states at the Fermi level, the calculation gives 11.0 states/eV per cell. The calculated formation energy is 11.98 kcal/mol of atoms. The total energy comes out at -402.37 eV/cell.

---

[4]
First-principles (meta-GGA SCAN) data for Tb4MgCo at its PBEsol-relaxed geometry, as listed in Alexandria.

The structure in CIF format:
```
data_Tb4MgCo
_chemical_formula_sum 'Tb64 Mg16 Co16'
_space_group_name_H-M_alt 'F -4 3 m'
_space_group_IT_number 216
_space_group_name_Hall 'F -4 2 3'
_cell_length_a 13.347
_cell_length_b 13.347
_cell_length_c 13.347
_cell_angle_alpha 90.00
_cell_angle_beta 90.00
_cell_angle_gamma 90.00
loop_
_atom_site_label
_atom_site_type_symbol
_atom_site_fract_x
_atom_site_fract_y
_atom_site_fract_z
_atom_site_occupancy
Tb1 Tb 0.000 0.000 0.186 1
Tb2 Tb 0.062 0.250 0.750 1
Tb3 Tb 0.156 0.156 0.344 1
Mg1 Mg 0.080 0.080 0.580 1
Co1 Co 0.141 0.141 0.141 1
```

Values from the calculation:
For the density of states at the Fermi level, the calculation gives 82.8 states/eV per cell. The calculated formation energy is -2.60 kcal/mol of atoms. The total energy comes out at -3360.07 eV/cell.

---

[5]
First-principles (meta-GGA SCAN) data for La2TlCo at its PBEsol-relaxed geometry, as listed in Alexandria.

The structure in CIF format:
```
data_La2TlCo
_chemical_formula_sum 'La2 Tl1 Co1'
_space_group_name_H-M_alt 'P 4/m m m'
_space_group_IT_number 123
_space_group_name_Hall '-P 4 2'
_cell_length_a 5.226
_cell_length_b 5.226
_cell_length_c 3.790
_cell_angle_alpha 90.00
_cell_angle_beta 90.00
_cell_angle_gamma 90.00
loop_
_atom_site_label
_atom_site_type_symbol
_atom_site_fract_x
_atom_site_fract_y
_atom_site_fract_z
_atom_site_occupancy
La1 La 0.000 0.500 0.000 1
Tl1 Tl 0.000 0.000 0.500 1
Co1 Co 0.500 0.500 0.500 1
```

Values from the calculation:
For the density of states at the Fermi level, the calculation gives 3.3 states/eV per cell. The calculated formation energy is -5.84 kcal/mol of atoms. The total energy comes out at -176.89 eV/cell.

---

[6]
First-principles (meta-GGA SCAN) data for Ca3TeOs at its PBEsol-relaxed geometry, as listed in Alexandria.

The structure in CIF format:
```
data_Ca3TeOs
_chemical_formula_sum 'Ca3 Te1 Os1'
_space_group_name_H-M_alt 'P m -3 m'
_space_group_IT_number 221
_space_group_name_Hall '-P 4 2 3'
_cell_length_a 5.317
_cell_length_b 5.317
_cell_length_c 5.317
_cell_angle_alpha 90.00
_cell_angle_beta 90.00
_cell_angle_gamma 90.00
loop_
_atom_site_label
_atom_site_type_symbol
_atom_site_fract_x
_atom_site_fract_y
_atom_site_fract_z
_atom_site_occupancy
Ca1 Ca 0.000 0.000 0.500 1
Te1 Te 0.500 0.500 0.500 1
Os1 Os 0.000 0.000 0.000 1
```

Values from the calculation:
For the density of states at the Fermi level, the calculation gives 1.1 states/eV per cell. As for the formation energy without anion corrections: -0.194 eV/atom. The total energy comes out at -139.09 eV/cell.

---

[7]
First-principles (meta-GGA SCAN) data for CaCo3Sn at its PBEsol-relaxed geometry, as listed in Alexandria.

The structure in CIF format:
```
data_CaCo3Sn
_chemical_formula_sum 'Ca1 Co3 Sn1'
_space_group_name_H-M_alt 'P m -3 m'
_space_group_IT_number 221
_space_group_name_Hall '-P 4 2 3'
_cell_length_a 4.685
_cell_length_b 4.685
_cell_length_c 4.685
_cell_angle_alpha 90.00
_cell_angle_beta 90.00
_cell_angle_gamma 90.00
loop_
_atom_site_label
_atom_site_type_symbol
_atom_site_fract_x
_atom_site_fract_y
_atom_site_fract_z
_atom_site_occupancy
Ca1 Ca 0.000 0.000 0.000 1
Co1 Co 0.000 0.500 0.500 1
Sn1 Sn 0.500 0.500 0.500 1
```

Values from the calculation:
For the density of states at the Fermi level, the calculation gives 6.1 states/eV per cell. The calculated formation energy is 18.74 kcal/mol of atoms. The total energy comes out at -93.43 eV/cell.

---

[8]
First-principles (meta-GGA SCAN) data for HfB2RhC at its PBEsol-relaxed geometry, as listed in Alexandria.

The structure in CIF format:
```
data_HfB2RhC
_chemical_formula_sum 'Hf1 B2 Rh1 C1'
_space_group_name_H-M_alt 'P 4/m m m'
_space_group_IT_number 123
_space_group_name_Hall '-P 4 2'
_cell_length_a 3.573
_cell_length_b 3.573
_cell_length_c 4.282
_cell_angle_alpha 90.00
_cell_angle_beta 90.00
_cell_angle_gamma 90.00
loop_
_atom_site_label
_atom_site_type_symbol
_atom_site_fract_x
_atom_site_fract_y
_atom_site_fract_z
_atom_site_occupancy
Hf1 Hf 0.000 0.000 0.000 1
B1 B 0.000 0.500 0.500 1
Rh1 Rh 0.500 0.500 0.000 1
C1 C 0.000 0.000 0.500 1
```

Values from the calculation:
For the density of states at the Fermi level, the calculation gives 1.4 states/eV per cell. The calculated formation energy is 17.65 kcal/mol of atoms. The total energy comes out at -117.58 eV/cell.

---

[9]
First-principles (meta-GGA SCAN) data for Zr3BeP at its PBEsol-relaxed geometry, as listed in Alexandria.

The structure in CIF format:
```
data_Zr3BeP
_chemical_formula_sum 'Zr3 Be1 P1'
_space_group_name_H-M_alt 'P m -3 m'
_space_group_IT_number 221
_space_group_name_Hall '-P 4 2 3'
_cell_length_a 4.553
_cell_length_b 4.553
_cell_length_c 4.553
_cell_angle_alpha 90.00
_cell_angle_beta 90.00
_cell_angle_gamma 90.00
loop_
_atom_site_label
_atom_site_type_symbol
_atom_site_fract_x
_atom_site_fract_y
_atom_site_fract_z
_atom_site_occupancy
Zr1 Zr 0.000 0.000 0.500 1
Be1 Be 0.000 0.000 0.000 1
P1 P 0.500 0.500 0.500 1
```

Values from the calculation:
For the density of states at the Fermi level, the calculation gives 3.2 states/eV per cell. The calculated formation energy is 2.20 kcal/mol of atoms. The total energy comes out at -106.37 eV/cell.

---

[10]
First-principles (meta-GGA SCAN) data for ZrH12C2N6F6 at its PBEsol-relaxed geometry, as listed in Alexandria.

The structure in CIF format:
```
data_ZrH12C2N6F6
_chemical_formula_sum 'Zr2 H24 C4 N12 F12'
_space_group_name_H-M_alt 'P -1'
_space_group_IT_number 2
_space_group_name_Hall '-P 1'
_cell_length_a 8.141
_cell_length_b 8.150
_cell_length_c 9.998
_cell_angle_alpha 99.95
_cell_angle_beta 103.79
_cell_angle_gamma 115.60
loop_
_atom_site_label
_atom_site_type_symbol
_atom_site_fract_x
_atom_site_fract_y
_atom_site_fract_z
_atom_site_occupancy
Zr1 Zr 0.003 0.352 0.341 1
H1 H 0.145 0.199 0.070 1
H2 H 0.162 0.849 0.411 1
H3 H 0.165 0.068 0.419 1
H4 H 0.169 0.059 0.932 1
H5 H 0.218 0.508 0.088 1
H6 H 0.228 0.170 0.742 1
H7 H 0.255 0.589 0.938 1
H8 H 0.264 0.401 0.745 1
H9 H 0.359 0.782 0.303 1
H10 H 0.409 0.310 0.396 1
H11 H 0.426 0.019 0.693 1
H12 H 0.433 0.725 0.687 1
C1 C 0.232 0.328 0.926 1
C2 C 0.367 0.040 0.348 1
N1 N 0.205 0.194 0.991 1
N2 N 0.205 0.971 0.381 1
N3 N 0.237 0.489 0.990 1
N4 N 0.259 0.304 0.798 1
N5 N 0.434 0.924 0.308 1
N6 N 0.455 0.222 0.352 1
F1 F 0.034 0.807 0.853 1
F2 F 0.089 0.637 0.470 1
F3 F 0.171 0.927 0.669 1
F4 F 0.198 0.539 0.270 1
F5 F 0.223 0.338 0.471 1
F6 F 0.241 0.639 0.756 1
```

Values from the calculation:
For the density of states at the Fermi level, the calculation gives 0.0 states/eV per cell. The total energy comes out at -407.25 eV/cell.

---

- Which formula does entry 9 have?
  Zr3BeP